# 1
A relaxed RbDySeO crystal. Source: OQMD via LeMat-Bulk, functional PBE-GGA.

Geometry as CIF:
```
data_RbDySeO
_cell_length_a 4.2194
_cell_length_b 4.2194
_cell_length_c 10.2114
_cell_angle_alpha 90.00
_cell_angle_beta 90.00
_cell_angle_gamma 90.00
_symmetry_space_group_name_H-M 'P 4/n m m'
_symmetry_Int_Tables_number 129
loop_
_symmetry_equiv_pos_as_xyz
'x,y,z'
'-x,-y,-z'
'-y+1/2,x,z'
'y+1/2,-x,-z'
'-x+1/2,-y+1/2,z'
'x+1/2,y+1/2,-z'
'y,-x+1/2,z'
'-y,x+1/2,-z'
'x+1/2,-y,-z'
'-x+1/2,y,z'
'-y,-x,-z'
'y,x,z'
'-x,y+1/2,-z'
'x,-y+1/2,z'
'y+1/2,x+1/2,-z'
'-y+1/2,-x+1/2,z'
loop_
_atom_site_label
_atom_site_type_symbol
_atom_site_fract_x
_atom_site_fract_y
_atom_site_fract_z
Rb1 Rb 0.2500 0.7500 0.0000
Dy1 Dy 0.2500 0.2500 0.4101
Se1 Se 0.2500 0.2500 0.7610
O1 O 0.2500 0.7500 0.5000
```

Results
Offset from the most stable computed form ... 0.302 eV/atom
Magnetization ... 0.0 μB/cell
Energy ... -5.4279 eV/atom

=====

# 2
A relaxed YReNO crystal. Source: OQMD via LeMat-Bulk, functional PBE-GGA.

Geometry as CIF:
```
data_YReNO
_cell_length_a 3.2477
_cell_length_b 5.6529
_cell_length_c 6.2414
_cell_angle_alpha 90.00
_cell_angle_beta 90.00
_cell_angle_gamma 90.00
_symmetry_space_group_name_H-M 'P m c 21'
_symmetry_Int_Tables_number 26
_symmetry_space_group_name_Hall 'P 2c -2'
loop_
_atom_site_label
_atom_site_type_symbol
_atom_site_fract_x
_atom_site_fract_y
_atom_site_fract_z
Y1 Y 0.0000 0.1715 0.0000
Re1 Re 0.5000 0.3288 0.4530
N1 N 0.5000 0.4200 0.1688
O1 O 0.0000 0.1843 0.6449
```

Results
Offset from the most stable computed form ... 0.551 eV/atom
Magnetization ... 0.0 μB/cell
Energy ... -9.0205 eV/atom

=====

# 3
A relaxed LuPa crystal. Source: OQMD via LeMat-Bulk, functional PBE-GGA.

Geometry as CIF:
```
data_LuPa
_cell_length_a 6.2159
_cell_length_b 6.2159
_cell_length_c 6.2159
_cell_angle_alpha 90.00
_cell_angle_beta 90.00
_cell_angle_gamma 90.00
_symmetry_space_group_name_H-M 'F m -3 m'
_symmetry_Int_Tables_number 225
_symmetry_space_group_name_Hall '-F 4 2 3'
loop_
_atom_site_label
_atom_site_type_symbol
_atom_site_fract_x
_atom_site_fract_y
_atom_site_fract_z
Lu1 Lu 0.0000 0.0000 0.0000
Pa1 Pa 0.0000 0.0000 0.5000
```

Results
Offset from the most stable computed form ... 1.215 eV/atom
ΔE_f ... 1.3522 eV per atom
Magnetization ... 8.8 μB/cell
Energy ... -5.6575 eV/atom

=====

# 4
A relaxed YCoSiNi crystal. Source: OQMD via LeMat-Bulk, functional PBE-GGA.

Geometry as CIF:
```
data_YCoSiNi
_cell_length_a 6.2775
_cell_length_b 6.2775
_cell_length_c 6.2775
_cell_angle_alpha 90.00
_cell_angle_beta 90.00
_cell_angle_gamma 90.00
_symmetry_space_group_name_H-M 'F -4 3 m'
_symmetry_Int_Tables_number 216
_symmetry_space_group_name_Hall 'F -4 2 3'
loop_
_atom_site_label
_atom_site_type_symbol
_atom_site_fract_x
_atom_site_fract_y
_atom_site_fract_z
Y1 Y 0.0000 0.0000 0.0000
Co1 Co 0.0000 0.0000 0.5000
Si1 Si 0.2500 0.2500 0.2500
Ni1 Ni 0.2500 0.2500 0.7500
```

Results
Magnetization ... 6.7 μB/cell
Energy ... -6.2081 eV/atom